(1)
Here is a geometry-optimized MoPb2F structure from Alexandria via LeMat-Bulk. Energies are from PBE with a Hubbard U.

Results
- relative energy among the computed polymorphs (eV/f.u.) = 0.32

abc: 8.9446 8.9446 8.9446
angles: 144.93 144.93 50.45
With the nearest neighbours (Å) after each atom.
Atoms (fractional coordinates):
1 Mo 0.0000 0.0000 0.0000  4 Pb 3.05
2 Mo 0.7500 0.2500 0.5000  4 Pb 3.05
3 Pb 0.2159 0.6250 0.0909  2 F 2.58
4 Pb 0.3750 0.4659 0.5909  2 F 2.58
5 Pb 0.5341 0.1250 0.9091  2 F 2.58
6 Pb 0.8750 0.7841 0.4091  2 F 2.58
7 F 0.2500 0.7500 0.5000  4 Pb 2.58
8 F 0.5000 0.5000 0.0000  4 Pb 2.58



(2)
Here is a geometry-optimized MoPbF2 structure from Alexandria via LeMat-Bulk. Energies are from PBE with a Hubbard U.

Results
- relative energy among the computed polymorphs (eV/f.u.) = 1.49

abc: 4.6784 4.6784 4.6784
angles: 60.00 60.00 60.00
With the nearest neighbours (Å) after each atom.
Atoms (fractional coordinates):
1 Mo 0.0000 0.0000 0.0000  8 F 2.86
2 Pb 0.5000 0.5000 0.5000  8 F 2.86
3 F 0.2500 0.2500 0.2500  4 Mo 2.86, 4 Pb 2.86
4 F 0.7500 0.7500 0.7500  4 Mo 2.86, 4 Pb 2.86



(3)
Here is a geometry-optimized MoPbF2 structure from Alexandria via LeMat-Bulk. Energies are from PBE with a Hubbard U.

Results
- relative energy among the computed polymorphs (eV/f.u.) = 0.56

abc: 9.6044 9.6044 9.6044
angles: 19.68 19.68 19.68
With the nearest neighbours (Å) after each atom.
Atoms (fractional coordinates):
1 Mo 0.0000 0.0000 0.0000  6 F 2.24
2 Pb 0.5000 0.5000 0.5000  6 Pb 3.28, 2 F 3.51
3 F 0.3757 0.3757 0.3757  3 Mo 2.24
4 F 0.6243 0.6243 0.6243  3 Mo 2.24



(4)
Here is a geometry-optimized Mo3PbF structure from Alexandria via LeMat-Bulk. Energies are from PBE with a Hubbard U.

Results
- relative energy among the computed polymorphs (eV/f.u.) = 1.19

abc: 5.6208 5.6208 5.6208
angles: 90.00 90.00 90.00
With the nearest neighbours (Å) after each atom.
Atoms (fractional coordinates):
1 Mo 0.0000 0.0000 0.5000  2 Pb 2.81
2 Mo 0.0000 0.5000 0.0000  2 Pb 2.81
3 Mo 0.5000 0.0000 0.0000  2 Pb 2.81
4 Pb 0.0000 0.0000 0.0000  6 Mo 2.81
5 F 0.5000 0.5000 0.5000  12 Mo 3.97



(5)
Here is a geometry-optimized MoPb3F structure from Alexandria via LeMat-Bulk. Energies are from PBE with a Hubbard U.

Results
- relative energy among the computed polymorphs (eV/f.u.) = 1.30

abc: 5.4104 5.4104 5.4104
angles: 90.00 90.00 90.00
With the nearest neighbours (Å) after each atom.
Atoms (fractional coordinates):
1 Mo 0.0000 0.0000 0.0000  6 Pb 2.71
2 Pb 0.0000 0.0000 0.5000  2 Mo 2.71
3 Pb 0.0000 0.5000 0.0000  2 Mo 2.71
4 Pb 0.5000 0.0000 0.0000  2 Mo 2.71
5 F 0.5000 0.5000 0.5000  12 Pb 3.83



(6)
Here is a geometry-optimized MoPb2F structure from Alexandria via LeMat-Bulk. Energies are from PBE with a Hubbard U.

Results
- relative energy among the computed polymorphs (eV/f.u.) = 0.00

abc: 5.0675 5.0675 5.0675
angles: 60.00 60.00 60.00
With the nearest neighbours (Å) after each atom.
Atoms (fractional coordinates):
1 Mo 0.0000 0.0000 0.0000  8 Pb 3.10
2 Pb 0.2500 0.2500 0.2500  4 F 3.10, 4 Mo 3.10
3 Pb 0.7500 0.7500 0.7500  4 F 3.10, 4 Mo 3.10
4 F 0.5000 0.5000 0.5000  8 Pb 3.10



(7)
Here is a geometry-optimized MoPbF2 structure from Alexandria via LeMat-Bulk. Energies are from PBE with a Hubbard U.

Results
- relative energy among the computed polymorphs (eV/f.u.) = 1.10

abc: 7.2496 7.2496 7.2496
angles: 134.52 134.52 66.28
With the nearest neighbours (Å) after each atom.
Atoms (fractional coordinates):
1 Mo 0.0000 0.0000 0.0000  4 F 2.21
2 Mo 0.7500 0.2500 0.5000  4 F 2.21
3 Pb 0.2500 0.7500 0.5000  4 F 2.88
4 Pb 0.5000 0.5000 0.0000  4 F 2.88
5 F 0.0171 0.6250 0.8921  2 Mo 2.21
6 F 0.3750 0.2671 0.3921  2 Mo 2.21
7 F 0.7329 0.1250 0.1079  2 Mo 2.21
8 F 0.8750 0.9829 0.6079  2 Mo 2.21



(8)
Here is a geometry-optimized Rb2MoPbF6 structure from Alexandria via LeMat-Bulk. Energies are from PBE with a Hubbard U.

Results
- relative energy among the computed polymorphs (eV/f.u.) = 0.11

abc: 6.7646 9.1587 6.7982
angles: 90.00 90.00 90.00
With the nearest neighbours (Å) after each atom.
Atoms (fractional coordinates):
1 Rb 0.2500 0.0190 0.2115  7 F 2.98-3.21
2 Rb 0.2500 0.4810 0.2115  7 F 2.98-3.21
3 Rb 0.7500 0.5190 0.7885  7 F 2.98-3.21
4 Rb 0.7500 0.9810 0.7885  7 F 2.98-3.21
5 Mo 0.2500 0.7500 0.7693  4 F 2.15-2.34
6 Mo 0.7500 0.2500 0.2307  4 F 2.15-2.34
7 Pb 0.2500 0.2500 0.7189  6 F 2.44-2.46
8 Pb 0.7500 0.7500 0.2811  6 F 2.44-2.46
9 F 0.0064 0.7500 0.0286  1 Mo 2.41, 1 Pb 2.44
10 F 0.0240 0.2500 0.4396  1 Mo 2.34, 1 Pb 2.44
11 F 0.2500 0.5149 0.7762  1 Mo 2.15
12 F 0.2500 0.9851 0.7762  1 Mo 2.15
13 F 0.4760 0.2500 0.4396  1 Mo 2.34, 1 Pb 2.44
14 F 0.4936 0.7500 0.0286  1 Mo 2.41, 1 Pb 2.44
15 F 0.5064 0.2500 0.9714  1 Mo 2.41, 1 Pb 2.44
16 F 0.5240 0.7500 0.5604  1 Mo 2.34, 1 Pb 2.44
17 F 0.7500 0.0149 0.2238  1 Mo 2.15
18 F 0.7500 0.4851 0.2238  1 Mo 2.15
19 F 0.9760 0.7500 0.5604  1 Mo 2.34, 1 Pb 2.44
20 F 0.9936 0.2500 0.9714  1 Mo 2.41, 1 Pb 2.44



(9)
Here is a geometry-optimized Rb2Mo3PbF12 structure from Alexandria via LeMat-Bulk. Energies are from PBE with a Hubbard U.

Results
- E_tot (Ha/atom) = -0.19260

abc: 7.5401 7.5401 7.5401
angles: 63.74 63.74 63.74
With the nearest neighbours (Å) after each atom.
Atoms (fractional coordinates):
1 Rb 0.1170 0.1170 0.1170  3 F 2.79
2 Rb 0.8830 0.8830 0.8830  3 F 2.79
3 Mo 0.0000 0.5000 0.5000  6 F 2.08-2.13
4 Mo 0.5000 0.0000 0.5000  6 F 2.08-2.13
5 Mo 0.5000 0.5000 0.0000  6 F 2.08-2.13
6 Pb 0.5000 0.5000 0.5000  6 F 2.63
7 F 0.0908 0.6282 0.6282  1 Mo 2.08
8 F 0.1928 0.1928 0.6088  2 Mo 2.13
9 F 0.1928 0.6088 0.1928  2 Mo 2.13
10 F 0.3718 0.3718 0.9092  1 Mo 2.08
11 F 0.3718 0.9092 0.3718  1 Mo 2.08
12 F 0.3912 0.8072 0.8072  2 Mo 2.13
13 F 0.6088 0.1928 0.1928  2 Mo 2.13
14 F 0.6282 0.0908 0.6282  1 Mo 2.08
15 F 0.6282 0.6282 0.0908  1 Mo 2.08
16 F 0.8072 0.3912 0.8072  2 Mo 2.13
17 F 0.8072 0.8072 0.3912  2 Mo 2.13
18 F 0.9092 0.3718 0.3718  1 Mo 2.08



(10)
Here is a geometry-optimized RbMoPbF6 structure from Alexandria via LeMat-Bulk. Energies are from PBE with a Hubbard U.

Results
- E_tot (Ha/atom) = -0.18854

abc: 7.8889 7.8889 7.8889
angles: 119.96 118.61 91.25
With the nearest neighbours (Å) after each atom.
Atoms (fractional coordinates):
1 Rb 0.3513 0.1013 0.2500  9 F 3.06-3.31
2 Rb 0.6487 0.8987 0.7500  9 F 3.06-3.31
3 Mo 0.0000 0.0000 0.5000  6 F 2.09-2.11
4 Mo 0.0000 0.5000 0.0000  6 F 2.09-2.11
5 Pb 0.0000 0.5000 0.5000  6 F 2.42-2.62
6 Pb 0.5000 0.5000 0.0000  6 F 2.42-2.62
7 F 0.0489 0.3368 0.1514  1 Mo 2.09
8 F 0.0489 0.8975 0.7121  1 Mo 2.09
9 F 0.0684 0.3184 0.7500  2 Mo 2.11
10 F 0.3145 0.1025 0.6514  1 Mo 2.09
11 F 0.3145 0.6632 0.2121  1 Mo 2.09
12 F 0.3717 0.6217 0.7500  2 Pb 2.42
13 F 0.6283 0.3783 0.2500  2 Pb 2.42
14 F 0.6855 0.3368 0.7879  1 Mo 2.09
15 F 0.6855 0.8975 0.3486  1 Mo 2.09
16 F 0.9316 0.6816 0.2500  2 Mo 2.11
17 F 0.9511 0.1025 0.2879  1 Mo 2.09
18 F 0.9511 0.6632 0.8486  1 Mo 2.09



(11)
Here is a geometry-optimized Rb2MoPbF6 structure from Alexandria via LeMat-Bulk. Energies are from PBE with a Hubbard U.

Results
- relative energy among the computed polymorphs (eV/f.u.) = 0.00

abc: 6.8159 6.8159 6.8159
angles: 123.01 123.01 84.85
With the nearest neighbours (Å) after each atom.
Atoms (fractional coordinates):
1 Rb 0.2500 0.7500 0.5000  12 F 3.25-3.41
2 Rb 0.7500 0.2500 0.5000  12 F 3.25-3.41
3 Mo 0.0000 0.0000 0.0000  4 F 2.16
4 Pb 0.5000 0.5000 0.0000  6 F 2.41-2.44
5 F 0.2351 0.2351 0.4703  1 Mo 2.16
6 F 0.2351 0.7649 0.0000  1 Mo 2.16
7 F 0.2608 0.2608 0.0000  1 Pb 2.41, 1 Mo 2.62
8 F 0.7392 0.7392 0.0000  1 Pb 2.41, 1 Mo 2.62
9 F 0.7649 0.2351 0.0000  1 Mo 2.16
10 F 0.7649 0.7649 0.5297  1 Mo 2.16



(12)
Here is a geometry-optimized MoRu2PbF structure from Alexandria via LeMat-Bulk. Energies are from PBE with a Hubbard U.

Results
- E_tot (Ha/atom) = -0.16011

abc: 5.1175 5.1175 5.6839
angles: 90.00 90.00 90.00
With the nearest neighbours (Å) after each atom.
Atoms (fractional coordinates):
1 Mo 0.0000 0.0000 0.0000  2 Pb 2.84
2 Ru 0.0000 0.5000 0.5000  2 Pb 2.56
3 Ru 0.5000 0.0000 0.5000  2 Pb 2.56
4 Pb 0.0000 0.0000 0.5000  4 Ru 2.56, 2 Mo 2.84
5 F 0.5000 0.5000 0.0000  4 Mo 3.62, 8 Ru 3.82